Record 1
# Sr2ErGa3Pd4

Crystalline Sr2ErGa3Pd4 at its relaxed geometry (PBE-GGA, Alexandria via LeMat-Bulk).

Results
Formation energy: -735 meV/atom
Total DFT energy (no corrections): -4.51 eV/atom

a = 4.4156 Å, b = 4.4156 Å, c = 11.1765 Å
α = 90.00°, β = 90.00°, γ = 90.00°
Fractional positions:
Sr1 0.0000 0.5000 0.2295
Sr2 0.5000 0.0000 0.7705
Er1 0.0000 0.0000 0.5000
Ga1 0.0000 0.5000 0.8831
Ga2 0.5000 0.0000 0.1169
Ga3 0.5000 0.5000 0.5000
Pd1 0.0000 0.0000 0.0000
Pd2 0.0000 0.5000 0.6520
Pd3 0.5000 0.0000 0.3480
Pd4 0.5000 0.5000 0.0000

---

Record 2
# Ag2RuAu

Crystalline Ag2RuAu at its relaxed geometry (PBE-GGA, Alexandria via LeMat-Bulk).

Results
Formation energy: 344 meV/atom
Total DFT energy (no corrections): -4.22 eV/atom
Excess energy over the best structure of this formula in the dataset: 47 meV per atom

a = 2.8013 Å, b = 2.8013 Å, c = 9.9379 Å
α = 90.00°, β = 90.00°, γ = 118.76°
Fractional positions:
Ag1 0.0000 0.0000 0.0000
Ag2 0.5000 0.5000 0.2531
Ru1 0.0000 0.0000 0.4979
Au1 0.5000 0.5000 0.7429

---

Record 3
# ScBe2Se

Crystalline ScBe2Se at its relaxed geometry (PBE-GGA, Alexandria via LeMat-Bulk).

Results
Formation energy from raw total energies: 0.04 eV per atom
Total DFT energy (no corrections): -4.27 eV/atom

a = 3.4170 Å, b = 3.4170 Å, c = 5.1243 Å
α = 90.00°, β = 90.00°, γ = 90.00°
Fractional positions:
Sc1 0.0000 0.0000 0.0000
Be1 0.5000 0.5000 0.2576
Be2 0.5000 0.5000 0.7424
Se1 0.0000 0.0000 0.5000

---

Record 4
# CoPdI2N

Crystalline CoPdI2N at its relaxed geometry (PBE-GGA, Alexandria via LeMat-Bulk).

Results
Formation energy from raw total energies: 0.54 eV per atom
Total DFT energy (no corrections): -4.21 eV/atom
Excess energy over the best structure of this formula in the dataset: 0 meV per atom

a = 5.3955 Å, b = 5.3955 Å, c = 3.4272 Å
α = 90.00°, β = 90.00°, γ = 90.00°
Fractional positions:
Co1 0.0000 0.0000 0.0000
Pd1 0.5000 0.5000 0.5000
I1 0.0000 0.5000 0.0000
I2 0.5000 0.0000 0.0000
N1 0.0000 0.0000 0.5000

---

Record 5
# FeRe2Se

Crystalline FeRe2Se at its relaxed geometry (PBE-GGA, Alexandria via LeMat-Bulk).

Results
Formation energy from raw total energies: 0.54 eV per atom
Total DFT energy (no corrections): -8.67 eV/atom

a = 2.7380 Å, b = 2.7380 Å, c = 8.9788 Å
α = 90.00°, β = 90.00°, γ = 113.12°
Fractional positions:
Fe1 0.0000 0.0000 0.0000
Re1 0.0000 0.0000 0.5275
Re2 0.5000 0.5000 0.7651
Se1 0.5000 0.5000 0.2305

---

Record 6
# Li2PrBr4

Crystalline Li2PrBr4 at its relaxed geometry (PBE-GGA, Alexandria via LeMat-Bulk).

Results
Formation energy from raw total energies: -1.55 eV per atom
Total DFT energy (no corrections): -3.74 eV/atom

a = 8.3737 Å, b = 8.3737 Å, c = 8.3737 Å
α = 125.88°, β = 118.13°, γ = 86.70°
Fractional positions:
Li1 0.0000 0.0000 0.0000
Li2 0.3773 0.6273 0.7500
Li3 0.5000 0.0000 0.5000
Li4 0.6227 0.3727 0.2500
Pr1 0.0000 0.0000 0.5000
Pr2 0.0000 0.5000 0.0000
Br1 0.2449 0.2349 0.4900
Br2 0.2449 0.7549 0.0100
Br3 0.2553 0.2316 0.0238
Br4 0.2922 0.7684 0.5238
Br5 0.7078 0.2316 0.4762
Br6 0.7447 0.7684 0.9762
Br7 0.7551 0.2451 0.9900
Br8 0.7551 0.7651 0.5100

---

Record 7
# Pm6SmDy8

Crystalline Pm6SmDy8 at its relaxed geometry (PBE-GGA, Alexandria via LeMat-Bulk).

Results
Formation energy: 123 meV/atom
Total DFT energy (no corrections): -4.55 eV/atom
Excess energy over the best structure of this formula in the dataset: 0 meV per atom

a = 8.7067 Å, b = 8.7067 Å, c = 8.7067 Å
α = 63.15°, β = 63.15°, γ = 63.15°
Fractional positions:
Pm1 0.0382 0.7290 0.6051
Pm2 0.2710 0.3949 0.9618
Pm3 0.3949 0.9618 0.2710
Pm4 0.6051 0.0382 0.7290
Pm5 0.7290 0.6051 0.0382
Pm6 0.9618 0.2710 0.3949
Sm1 0.5000 0.5000 0.5000
Dy1 0.0765 0.0765 0.0765
Dy2 0.2187 0.2462 0.6116
Dy3 0.2462 0.6116 0.2187
Dy4 0.3884 0.7813 0.7538
Dy5 0.6116 0.2187 0.2462
Dy6 0.7538 0.3884 0.7813
Dy7 0.7813 0.7538 0.3884
Dy8 0.9235 0.9235 0.9235

---

Record 8
# La5PrTl2

Crystalline La5PrTl2 at its relaxed geometry (PBE-GGA, Alexandria via LeMat-Bulk).

Results
Formation energy: -101 meV/atom
Total DFT energy (no corrections): -4.37 eV/atom
Excess energy over the best structure of this formula in the dataset: 53 meV per atom

a = 5.7127 Å, b = 5.7127 Å, c = 20.6036 Å
α = 90.00°, β = 90.00°, γ = 120.00°
Fractional positions:
La1 0.0000 0.0000 0.1600
La2 0.0000 0.0000 0.3400
La3 0.0000 0.0000 0.6600
La4 0.0000 0.0000 0.8400
La5 0.3333 0.6667 0.0659
La6 0.3333 0.6667 0.2500
La7 0.3333 0.6667 0.4341
La8 0.6667 0.3333 0.5659
La9 0.6667 0.3333 0.7500
La10 0.6667 0.3333 0.9341
Pr1 0.3333 0.6667 0.7500
Pr2 0.6667 0.3333 0.2500
Tl1 0.3333 0.6667 0.5926
Tl2 0.3333 0.6667 0.9074
Tl3 0.6667 0.3333 0.0926
Tl4 0.6667 0.3333 0.4074

---

Record 9
# TlFePtC2

Crystalline TlFePtC2 at its relaxed geometry (PBE-GGA, Alexandria via LeMat-Bulk).

Results
Formation energy: 1181 meV/atom
Total DFT energy (no corrections): -5.88 eV/atom

a = 3.7114 Å, b = 3.7114 Å, c = 5.4668 Å
α = 90.00°, β = 90.00°, γ = 90.00°
Fractional positions:
Tl1 0.0000 0.0000 0.0000
Fe1 0.5000 0.5000 0.5000
Pt1 0.5000 0.5000 0.0000
C1 0.0000 0.5000 0.5000
C2 0.5000 0.0000 0.5000

---

Record 10
# AlBi2Te2BrCl4

Crystalline AlBi2Te2BrCl4 at its relaxed geometry (PBE-GGA, Alexandria via LeMat-Bulk).

Results
Formation energy from raw total energies: -0.92 eV per atom
Total DFT energy (no corrections): -3.61 eV/atom

a = 11.7461 Å, b = 11.7461 Å, c = 13.9296 Å
α = 99.10°, β = 99.10°, γ = 43.24°
Fractional positions:
Al1 0.1061 0.3549 0.1734
Al2 0.3549 0.1061 0.6734
Al3 0.6451 0.8939 0.3266
Al4 0.8939 0.6451 0.8266
Bi1 0.0546 0.8137 0.3879
Bi2 0.1863 0.9454 0.1121
Bi3 0.3130 0.5702 0.8874
Bi4 0.4298 0.6870 0.6126
Bi5 0.5702 0.3130 0.3874
Bi6 0.6870 0.4298 0.1126
Bi7 0.8137 0.0546 0.8879
Bi8 0.9454 0.1863 0.6121
Te1 0.0563 0.8012 0.0377
Te2 0.1988 0.9437 0.4623
Te3 0.2989 0.5446 0.5303
Te4 0.4554 0.7011 0.9697
Te5 0.5446 0.2989 0.0303
Te6 0.7011 0.4554 0.4697
Te7 0.8012 0.0563 0.5377
Te8 0.9437 0.1988 0.9623
Br1 0.1263 0.8737 0.7500
Br2 0.3769 0.6231 0.2500
Br3 0.6231 0.3769 0.7500
Br4 0.8737 0.1263 0.2500
Cl1 0.0555 0.2818 0.2785
Cl2 0.1303 0.4613 0.9087
Cl3 0.1321 0.2889 0.5819
Cl4 0.1984 0.4589 0.2295
Cl5 0.2818 0.0555 0.7785
Cl6 0.2889 0.1321 0.0819
Cl7 0.4589 0.1984 0.7295
Cl8 0.4613 0.1303 0.4087
Cl9 0.5387 0.8697 0.5913
Cl10 0.5411 0.8016 0.2705
Cl11 0.7111 0.8679 0.9181
Cl12 0.7182 0.9445 0.2215
Cl13 0.8016 0.5411 0.7705
Cl14 0.8679 0.7111 0.4181
Cl15 0.8697 0.5387 0.0913
Cl16 0.9445 0.7182 0.7215

---

Record 11
# VP2Rh2

Crystalline VP2Rh2 at its relaxed geometry (PBE-GGA, Alexandria via LeMat-Bulk).

Results
Formation energy: -344 meV/atom
Total DFT energy (no corrections): -7.27 eV/atom

a = 6.8488 Å, b = 6.8488 Å, c = 2.8733 Å
α = 90.00°, β = 90.00°, γ = 90.00°
Fractional positions:
V1 0.0000 0.0000 0.0000
V2 0.5000 0.5000 0.0000
P1 0.1603 0.3397 0.0000
P2 0.3397 0.8397 0.0000
P3 0.6603 0.1603 0.0000
P4 0.8397 0.6603 0.0000
Rh1 0.1467 0.6467 0.5000
Rh2 0.3533 0.1467 0.5000
Rh3 0.6467 0.8533 0.5000
Rh4 0.8533 0.3533 0.5000

---

Record 12
# ZrNiS3

Crystalline ZrNiS3 at its relaxed geometry (PBE-GGA, Alexandria via LeMat-Bulk).

Results
Formation energy from raw total energies: -0.28 eV per atom
Total DFT energy (no corrections): -5.62 eV/atom
Excess energy over the best structure of this formula in the dataset: 0 meV per atom

a = 4.3789 Å, b = 4.3789 Å, c = 4.3789 Å
α = 90.00°, β = 90.00°, γ = 90.00°
Fractional positions:
Zr1 0.0000 0.0000 0.0000
Ni1 0.5000 0.5000 0.5000
S1 0.0000 0.5000 0.5000
S2 0.5000 0.0000 0.5000
S3 0.5000 0.5000 0.0000